# 1
Below is a relaxed AlZn2Hg crystal, with properties calculated at the PBE-GGA level.

Values from the calculation:
DOS(E_F) in states/eV per cell: 1.4
Energy relative to the elements in meV/atom: 187
Space group: No. 44
Energy above the most stable polymorph in this dataset in meV/atom: 78
Calculated total energy in Ha/atom: -0.0537

abc: 5.2466 5.2466 5.2466
angles: 140.97 123.30 70.99
Element x y z (fractional)
Zn 0.9876 0.9876 0.0000
Zn 0.7534 0.2534 0.5000
Hg 0.2480 0.7480 0.5000
Al 0.5111 0.5111 0.0000



# 2
Below is a relaxed Si2AsAu crystal, with properties calculated at the PBE-GGA level.

Values from the calculation:
Formation energy without anion corrections in eV per atom: 0.4835
DOS(E_F) in states/eV per cell: 2.8
Space group: No. 123
Calculated total energy in Ha/atom: -0.1547

abc: 4.9954 3.7859 3.7859
angles: 90.00 90.00 90.00
Element x y z (fractional)
As 0.5000 0.5000 0.0000
Au 0.5000 0.0000 0.5000
Si 0.0000 0.0000 0.0000
Si 0.0000 0.5000 0.5000



# 3
Below is a relaxed Li2CrCu crystal, with properties calculated at the PBE-GGA level.

Values from the calculation:
DOS(E_F) in states/eV per cell: 3.0
Energy relative to the elements in meV/atom: 301
Space group: No. 166
Energy above the most stable polymorph in this dataset in meV/atom: 37
Calculated total energy in Ha/atom: -0.1502

abc: 9.2559 9.2559 9.2559
angles: 15.71 15.71 15.71
Element x y z (fractional)
Cr 0.2500 0.2500 0.2500
Cu 0.7500 0.7500 0.7500
Li 0.0017 0.0017 0.0017
Li 0.4983 0.4983 0.4983